# 1
The following is a DFT calculation (PBE-GGA) of crystalline Th4BiRu2 at its relaxed geometry.

Calculated values
- SG: Cmcm, No. 63
- Relative energy among the computed polymorphs: 0 meV/atom

Cell and atoms, written as extended XYZ:
```
14
Lattice="2.180 -6.609 0.000 2.180 6.609 0.000 0.000 0.000 14.045" Properties=species:S:1:pos:R:3 pbc="T T T"
Th 0.000 0.000 0.000
Th 0.000 0.000 7.022
Th 2.180 3.097 8.538
Th 2.180 3.097 12.529
Th 2.180 1.113 3.511
Th 2.180 -1.113 10.534
Th 2.180 -3.097 1.515
Th 2.180 -3.097 5.507
Bi 2.180 5.188 3.511
Bi 2.180 -5.188 10.534
Ru 2.180 1.625 0.809
Ru 2.180 1.625 6.214
Ru 2.180 -1.625 7.831
Ru 2.180 -1.625 13.236
```

***

# 2
The following is a DFT calculation (PBE-GGA) of crystalline Th6Bi2Ru at its relaxed geometry.

Calculated values
- SG: P2_1/c, No. 14

Cell and atoms, written as extended XYZ:
```
18
Lattice="6.502 0.000 0.000 0.000 8.206 0.000 -6.070 0.000 10.639" Properties=species:S:1:pos:R:3 pbc="T T T"
Th -2.212 1.622 4.909
Th -5.247 2.481 10.228
Th -0.703 5.561 4.949
Th -3.738 6.748 10.269
Th 0.865 0.158 2.671
Th -2.169 3.945 7.990
Th 2.602 4.260 2.649
Th -0.433 8.048 7.968
Th 4.170 1.458 0.370
Th 1.135 2.645 5.690
Th 5.679 5.725 0.411
Th 2.645 6.584 5.730
Bi -3.561 0.880 7.934
Bi -0.526 3.223 2.614
Bi 0.958 4.982 8.025
Bi 3.993 7.326 2.705
Ru 0.216 0.000 5.319
Ru 3.251 4.103 0.000
```

***

Looking at electronic total energy for the records above, in order, we have -111.4; -128.8 eV per cell.
Looking at DFT formation energy for the records above, in order, we have -0.5122; -0.3146 eV/atom.